Density functional theory data (PBE) for a relaxed structure of Be2PBr.

Cell lengths 7.428, 7.428, 7.428 Å; angles 27.36, 27.36, 27.36 degrees
Atoms (fractional coordinates):
Be: 0.269 0.269 0.269
Be: 0.014 0.014 0.014
P: 0.683 0.683 0.683
Br: 0.534 0.534 0.534

Results
SG: No. 160
formation energy from raw total energies: -0.067 eV per atom
E: -14.802 eV/cell
offset from the most stable computed form: 335 meV/atom
size of the total moment: 0.000 μB per cell

***

Density functional theory data (PBE) for a relaxed structure of YCuP3.

Cell lengths 4.550, 4.550, 4.550 Å; angles 90.00, 90.00, 90.00 degrees
Atoms (fractional coordinates):
Cu: 0.000 0.000 0.000
P: 0.500 0.000 0.000
P: 0.000 0.000 0.500
P: 0.000 0.500 0.000
Y: 0.500 0.500 0.500

Results
D(E_F): 0.56 states/eV per atom
SG: No. 221
E: -26.754 eV/cell
offset from the most stable computed form: 0 meV/atom
size of the total moment: 0.000 μB per cell

***

Density functional theory data (PBE) for a relaxed structure of K4ErU3Te8.

Cell lengths 8.981, 9.785, 8.980 Å; angles 117.32, 120.00, 90.00 degrees
Atoms (fractional coordinates):
U: 0.500 0.500 0.000
U: 0.500 0.500 0.500
U: 0.000 0.500 0.500
Te: 0.766 0.289 0.531
Te: 0.766 0.289 0.024
Te: 0.258 0.289 0.024
Te: 0.234 0.711 0.469
Te: 0.742 0.711 0.976
Te: 0.738 0.713 0.475
Te: 0.262 0.287 0.525
Te: 0.234 0.711 0.976
K: 0.500 0.000 0.500
K: 0.500 0.000 0.000
K: 0.000 0.000 0.000
K: 0.000 0.000 0.500
Er: 0.000 0.500 0.000

Results
D(E_F): 1.42 states/eV per atom
SG: No. 166
formation energy from raw total energies: -0.971 eV per atom
E: -83.492 eV/cell
size of the total moment: 9.006 μB per cell

***

Density functional theory data (PBE) for a relaxed structure of KMg2Cu2.

Cell lengths 8.349, 8.349, 2.960 Å; angles 90.00, 90.00, 90.00 degrees
Atoms (fractional coordinates):
Mg: 0.126 0.374 0.000
Mg: 0.626 0.126 0.000
Mg: 0.374 0.874 0.000
Mg: 0.874 0.626 0.000
Cu: 0.663 0.837 0.500
Cu: 0.837 0.337 0.500
Cu: 0.163 0.663 0.500
Cu: 0.337 0.163 0.500
K: 0.500 0.500 0.000
K: 0.000 0.000 0.000

Results
D(E_F): 0.38 states/eV per atom
SG: No. 127
E: -23.419 eV/cell
offset from the most stable computed form: 0 meV/atom
size of the total moment: 0.000 μB per cell

***

Density functional theory data (PBE) for a relaxed structure of ScAl11Co.

Cell lengths 5.083, 7.056, 6.746 Å; angles 83.23, 67.87, 71.77 degrees
Atoms (fractional coordinates):
Al: 0.500 0.000 0.500
Al: 0.360 0.641 0.655
Al: 0.000 0.000 0.500
Al: 0.985 0.359 0.655
Al: 0.288 0.226 0.212
Al: 0.500 0.774 0.212
Al: 0.000 0.500 0.000
Al: 0.640 0.359 0.345
Al: 0.500 0.226 0.788
Al: 0.712 0.774 0.788
Al: 0.015 0.641 0.345
Sc: 0.000 0.000 0.000
Co: 0.500 0.500 0.000

Results
D(E_F): 0.43 states/eV per atom
SG: No. 12
E: -56.498 eV/cell
size of the total moment: 0.000 μB per cell

***

Density functional theory data (PBE) for a relaxed structure of LaTi2OF.

Cell lengths 3.905, 6.101, 3.905 Å; angles 90.00, 90.00, 90.00 degrees
Atoms (fractional coordinates):
O: 0.000 0.500 0.000
Ti: 0.500 0.000 0.000
Ti: 0.000 0.000 0.500
La: 0.500 0.500 0.500
F: 0.000 0.000 0.000

Results
D(E_F): 0.96 states/eV per atom
SG: No. 123
formation energy from raw total energies: -1.045 eV per atom
E: -32.770 eV/cell
size of the total moment: 2.444 μB per cell

***

- Look up the E of the third one.
  -83.492 eV/cell